No. 1
Below is TiSe at its PBEsol-relaxed geometry, with properties calculated at the meta-GGA SCAN level.

Cell lengths 4.1272, 4.1272, 5.2800 Å; angles 90.00, 90.00, 90.00 degrees
Last column: nearest neighbours and their distance in Å.
Atoms (fractional coordinates):
Ti1 0.2500 0.7500 0.0000  4 Se 2.50
Ti2 0.7500 0.2500 0.0000  4 Se 2.50
Se1 0.2500 0.2500 0.2689  4 Ti 2.50
Se2 0.7500 0.7500 0.7311  4 Ti 2.50

DOS at the Fermi energy, states/eV/atom: 0.873
E_form (uncorrected), eV per atom: -0.92
Crystal system: tetragonal
Energy, eV for the cell shown: -75.9
Total moment, Bohr magnetons per cell: 0.00

No. 2
Below is Ti3Se4 at its PBEsol-relaxed geometry, with properties calculated at the meta-GGA SCAN level.

Cell lengths 9.7925, 9.7925, 3.4952 Å; angles 90.00, 90.00, 120.00 degrees
Last column: nearest neighbours and their distance in Å.
Atoms (fractional coordinates):
Ti1 0.1291 0.4889 0.2500  6 Se 2.53-2.61
Ti2 0.3598 0.8709 0.2500  6 Se 2.53-2.61
Ti3 0.4889 0.3598 0.7500  6 Se 2.53-2.61
Ti4 0.5111 0.6402 0.2500  6 Se 2.53-2.61
Ti5 0.6402 0.1291 0.7500  6 Se 2.53-2.61
Ti6 0.8709 0.5111 0.7500  6 Se 2.53-2.61
Se1 0.0522 0.7017 0.2500  4 Ti 2.53-2.61
Se2 0.2983 0.3505 0.2500  4 Ti 2.53-2.61
Se3 0.3333 0.6667 0.7500  6 Ti 2.57
Se4 0.3505 0.0522 0.7500  4 Ti 2.53-2.61
Se5 0.6495 0.9478 0.2500  4 Ti 2.53-2.61
Se6 0.6667 0.3333 0.2500  6 Ti 2.57
Se7 0.7017 0.6495 0.7500  4 Ti 2.53-2.61
Se8 0.9478 0.2983 0.7500  4 Ti 2.53-2.61

DOS at the Fermi energy, states/eV/atom: 0.284
E_form (uncorrected), eV per atom: -1.32
Crystal system: hexagonal
ΔE to the lowest computed polymorph, eV per formula unit: 0.00
Energy, eV for the cell shown: -275.3
Total moment, Bohr magnetons per cell: 0.00

No. 3
Below is Ti3Se4 at its PBEsol-relaxed geometry, with properties calculated at the meta-GGA SCAN level.

Cell lengths 6.9248, 6.9248, 6.3640 Å; angles 116.57, 116.57, 28.99 degrees
Last column: nearest neighbours and their distance in Å.
Atoms (fractional coordinates):
Ti1 0.0000 0.0000 0.0000  6 Se 2.53-2.58
Ti2 0.2514 0.2514 0.2944  6 Se 2.52-2.71
Ti3 0.7486 0.7486 0.7056  6 Se 2.52-2.71
Se1 0.1089 0.1089 0.4478  4 Ti 2.52-2.53
Se2 0.3667 0.3667 0.0391  5 Ti 2.58-2.71
Se3 0.6333 0.6333 0.9609  5 Ti 2.58-2.71
Se4 0.8911 0.8911 0.5522  4 Ti 2.52-2.53

DOS at the Fermi energy, states/eV/atom: 0.616
E_form (uncorrected), eV per atom: -1.29
Crystal system: monoclinic
ΔE to the lowest computed polymorph, eV per formula unit: 0.20
Energy, eV for the cell shown: -137.5
Total moment, Bohr magnetons per cell: 0.32

No. 4
Below is TiSe at its PBEsol-relaxed geometry, with properties calculated at the meta-GGA SCAN level.

Cell lengths 3.3575, 3.3575, 6.7592 Å; angles 90.00, 90.00, 120.00 degrees
Last column: nearest neighbours and their distance in Å.
Atoms (fractional coordinates):
Ti1 0.0000 0.0000 0.0000  6 Se 2.57
Ti2 0.0000 0.0000 0.5000  6 Se 2.57
Se1 0.3333 0.6667 0.2500  6 Ti 2.57
Se2 0.6667 0.3333 0.7500  6 Ti 2.57

DOS at the Fermi energy, states/eV/atom: 0.526
E_form (uncorrected), eV per atom: -1.18
Crystal system: hexagonal
Energy, eV for the cell shown: -77.0
Total moment, Bohr magnetons per cell: 0.00

No. 5
Below is TiSe at its PBEsol-relaxed geometry, with properties calculated at the meta-GGA SCAN level.

Cell lengths 6.4098, 3.4048, 6.1736 Å; angles 90.00, 90.00, 90.00 degrees
Last column: nearest neighbours and their distance in Å.
Atoms (fractional coordinates):
Ti1 0.0067 0.2500 0.1953  6 Se 2.51-2.71
Ti2 0.4933 0.7500 0.6953  6 Se 2.51-2.71
Ti3 0.5067 0.2500 0.3047  6 Se 2.51-2.71
Ti4 0.9933 0.7500 0.8047  6 Se 2.51-2.71
Se1 0.2155 0.2500 0.5774  6 Ti 2.51-2.71
Se2 0.2845 0.7500 0.0774  6 Ti 2.51-2.71
Se3 0.7155 0.2500 0.9226  6 Ti 2.51-2.71
Se4 0.7845 0.7500 0.4226  6 Ti 2.51-2.71

DOS at the Fermi energy, states/eV/atom: 0.455
E_form (uncorrected), eV per atom: -1.23
Crystal system: orthorhombic
Energy, eV for the cell shown: -154.3
Total moment, Bohr magnetons per cell: 0.00

No. 6
Below is Ti9Se2 at its PBEsol-relaxed geometry, with properties calculated at the meta-GGA SCAN level.

Cell lengths 6.7113, 15.3178, 3.4216 Å; angles 90.00, 90.00, 90.00 degrees
Last column: nearest neighbours and their distance in Å.
Atoms (fractional coordinates):
Ti1 0.0000 0.0000 0.0000  10 Ti 2.68-2.86
Ti2 0.0964 0.1402 0.5000  2 Se 2.62-2.72, 5 Ti 2.78-2.82
Ti3 0.1107 0.5766 0.0000  2 Se 2.58, 8 Ti 2.77-2.86
Ti4 0.2214 0.4428 0.5000  1 Se 2.68, 9 Ti 2.68-2.93
Ti5 0.2225 0.7895 0.0000  4 Se 2.61-2.64
Ti6 0.2775 0.2895 0.0000  4 Se 2.61-2.64
Ti7 0.2786 0.9428 0.5000  1 Se 2.68, 9 Ti 2.68-2.93
Ti8 0.3893 0.0766 0.0000  2 Se 2.58, 8 Ti 2.77-2.86
Ti9 0.4036 0.6402 0.5000  2 Se 2.62-2.72, 5 Ti 2.78-2.82
Ti10 0.5000 0.5000 0.0000  10 Ti 2.68-2.86
Ti11 0.5964 0.3598 0.5000  2 Se 2.62-2.72, 5 Ti 2.78-2.82
Ti12 0.6107 0.9234 0.0000  2 Se 2.58, 8 Ti 2.77-2.86
Ti13 0.7214 0.0572 0.5000  1 Se 2.68, 9 Ti 2.68-2.93
Ti14 0.7225 0.7105 0.0000  4 Se 2.61-2.64
Ti15 0.7775 0.2105 0.0000  4 Se 2.61-2.64
Ti16 0.7786 0.5572 0.5000  1 Se 2.68, 9 Ti 2.68-2.93
Ti17 0.8893 0.4234 0.0000  2 Se 2.58, 8 Ti 2.77-2.86
Ti18 0.9036 0.8598 0.5000  2 Se 2.62-2.72, 5 Ti 2.78-2.82
Se1 0.0198 0.6966 0.5000  9 Ti 2.58-2.72
Se2 0.4802 0.1966 0.5000  9 Ti 2.58-2.72
Se3 0.5198 0.8034 0.5000  9 Ti 2.58-2.72
Se4 0.9802 0.3034 0.5000  9 Ti 2.58-2.72

DOS at the Fermi energy, states/eV/atom: 0.975
E_form (uncorrected), eV per atom: -0.49
Crystal system: orthorhombic
Energy, eV for the cell shown: -379.7
Total moment, Bohr magnetons per cell: 0.00

No. 7
Below is Ti45Se16 at its PBEsol-relaxed geometry, with properties calculated at the meta-GGA SCAN level.

Cell lengths 17.6458, 17.6458, 16.2791 Å; angles 91.85, 91.85, 11.06 degrees
Last column: nearest neighbours and their distance in Å.
Atoms (fractional coordinates):
Ti1 0.0000 0.0000 0.0000  2 Se 2.59, 4 Ti 2.85
Ti2 0.0061 0.0061 0.7062  2 Se 2.58-2.66, 7 Ti 2.67-2.87
Ti3 0.0362 0.0362 0.5443  2 Se 2.59, 8 Ti 2.76-2.88
Ti4 0.0869 0.0869 0.9498  2 Se 2.63-2.66, 6 Ti 2.66-2.93
Ti5 0.0893 0.0893 0.3748  4 Se 2.62-2.63, 2 Ti 2.87
Ti6 0.1039 0.1039 0.1648  4 Se 2.52-2.68
Ti7 0.1326 0.1326 0.5672  4 Se 2.57-2.58
Ti8 0.1812 0.1812 0.2972  4 Se 2.59-2.83, 2 Ti 2.84
Ti9 0.1855 0.1855 0.7510  5 Se 2.58-2.85, 2 Ti 2.87
Ti10 0.2176 0.2176 0.4841  9 Ti 2.65-2.87
Ti11 0.2202 0.2202 0.0155  2 Se 2.61-2.64, 7 Ti 2.74-2.89
Ti12 0.2614 0.2614 0.6347  2 Se 2.54, 6 Ti 2.70-2.84
Ti13 0.2717 0.2717 0.8411  4 Se 2.57-2.58, 2 Ti 2.85
Ti14 0.2897 0.2897 0.1156  3 Se 2.52-2.61, 2 Ti 2.74
Ti15 0.3020 0.3020 0.3999  2 Se 2.56-2.68, 4 Ti 2.65-2.84
Ti16 0.3428 0.3428 0.5655  2 Se 2.67-2.70, 6 Ti 2.82-2.95
Ti17 0.3553 0.3553 0.9693  4 Se 2.60-2.62
Ti18 0.3788 0.3788 0.1670  5 Se 2.50-2.56
Ti19 0.4337 0.4337 0.3335  3 Se 2.53-2.63, 4 Ti 2.80-2.81
Ti20 0.4400 0.4400 0.9407  2 Se 2.54, 4 Ti 2.66-2.84
Ti21 0.4470 0.4470 0.7465  3 Se 2.54-2.59, 3 Ti 2.78-2.79
Ti22 0.4717 0.4717 0.1320  4 Se 2.60-2.61
Ti23 0.4790 0.4790 0.5919  7 Ti 2.67-2.83, 1 Se 2.69
Ti24 0.5210 0.5210 0.4081  7 Ti 2.67-2.83, 1 Se 2.69
Ti25 0.5283 0.5283 0.8680  4 Se 2.60-2.61
Ti26 0.5530 0.5530 0.2535  3 Se 2.54-2.59, 3 Ti 2.78-2.79
Ti27 0.5600 0.5600 0.0593  2 Se 2.54, 4 Ti 2.66-2.84
Ti28 0.5663 0.5663 0.6665  3 Se 2.53-2.63, 4 Ti 2.80-2.81
Ti29 0.6212 0.6212 0.8330  5 Se 2.50-2.56
Ti30 0.6447 0.6447 0.0307  4 Se 2.60-2.62
Ti31 0.6572 0.6572 0.4345  2 Se 2.67-2.70, 6 Ti 2.82-2.95
Ti32 0.6980 0.6980 0.6001  2 Se 2.56-2.68, 4 Ti 2.65-2.84
Ti33 0.7103 0.7103 0.8844  3 Se 2.52-2.61, 2 Ti 2.74
Ti34 0.7283 0.7283 0.1589  4 Se 2.57-2.58, 2 Ti 2.85
Ti35 0.7386 0.7386 0.3653  2 Se 2.54, 6 Ti 2.70-2.84
Ti36 0.7798 0.7798 0.9845  2 Se 2.61-2.64, 7 Ti 2.74-2.89
Ti37 0.7824 0.7824 0.5159  9 Ti 2.65-2.87
Ti38 0.8145 0.8145 0.2490  5 Se 2.58-2.85, 2 Ti 2.87
Ti39 0.8188 0.8188 0.7028  4 Se 2.59-2.83, 2 Ti 2.84
Ti40 0.8674 0.8674 0.4328  4 Se 2.57-2.58
Ti41 0.8961 0.8961 0.8352  4 Se 2.52-2.68
Ti42 0.9107 0.9107 0.6252  4 Se 2.62-2.63, 2 Ti 2.87
Ti43 0.9131 0.9131 0.0502  2 Se 2.63-2.66, 6 Ti 2.66-2.93
Ti44 0.9638 0.9638 0.4557  2 Se 2.59, 8 Ti 2.76-2.88
Ti45 0.9939 0.9939 0.2938  2 Se 2.58-2.66, 7 Ti 2.67-2.87
Se1 0.0277 0.0277 0.1496  9 Ti 2.54-2.68
Se2 0.0699 0.0699 0.7896  8 Ti 2.56-2.66
Se3 0.1596 0.1596 0.9151  8 Ti 2.52-2.64
Se4 0.1740 0.1740 0.1375  7 Ti 2.52-2.62
Se5 0.2594 0.2594 0.2600  9 Ti 2.54-2.83
Se6 0.3619 0.3619 0.3148  7 Ti 2.50-2.59
Se7 0.3742 0.3742 0.7172  8 Ti 2.59-2.67
Se8 0.4132 0.4132 0.5029  9 Ti 2.58-2.87
Se9 0.5868 0.5868 0.4971  9 Ti 2.58-2.87
Se10 0.6258 0.6258 0.2828  8 Ti 2.59-2.67
Se11 0.6381 0.6381 0.6852  7 Ti 2.50-2.59
Se12 0.7406 0.7406 0.7400  9 Ti 2.54-2.83
Se13 0.8260 0.8260 0.8625  7 Ti 2.52-2.62
Se14 0.8404 0.8404 0.0849  8 Ti 2.52-2.64
Se15 0.9301 0.9301 0.2104  8 Ti 2.56-2.66
Se16 0.9723 0.9723 0.8504  9 Ti 2.54-2.68

DOS at the Fermi energy, states/eV/atom: 0.836
E_form (uncorrected), eV per atom: -0.72
Crystal system: monoclinic
Energy, eV for the cell shown: -1086.7
Total moment, Bohr magnetons per cell: 0.01

No. 8
Below is TiTl4Se4 at its PBEsol-relaxed geometry, with properties calculated at the meta-GGA SCAN level.

Cell lengths 8.3973, 8.2834, 15.6101 Å; angles 90.00, 103.52, 90.00 degrees
Last column: nearest neighbours and their distance in Å.
Atoms (fractional coordinates):
Ti1 0.2049 0.1123 0.3760  4 Se 2.37-2.39
Ti2 0.2049 0.3877 0.8760  4 Se 2.37-2.39
Ti3 0.7951 0.6123 0.1240  4 Se 2.37-2.39
Ti4 0.7951 0.8877 0.6240  4 Se 2.37-2.39
Tl1 0.0350 0.0049 0.1273  3 Se 3.05-3.11
Tl2 0.0350 0.4951 0.6273  3 Se 3.05-3.11
Tl3 0.1945 0.1080 0.6264  4 Se 3.09-3.43
Tl4 0.1945 0.3920 0.1264  4 Se 3.09-3.43
Tl5 0.3943 0.7063 0.3623  4 Se 3.06-3.31
Tl6 0.3943 0.7937 0.8623  4 Se 3.06-3.31
Tl7 0.4005 0.6760 0.6113  3 Se 3.01-3.13
Tl8 0.4005 0.8240 0.1113  3 Se 3.01-3.13
Tl9 0.5995 0.1760 0.8887  3 Se 3.01-3.13
Tl10 0.5995 0.3240 0.3887  3 Se 3.01-3.13
Tl11 0.6057 0.2063 0.1377  4 Se 3.06-3.31
Tl12 0.6057 0.2937 0.6377  4 Se 3.06-3.31
Tl13 0.8055 0.6080 0.8736  4 Se 3.09-3.43
Tl14 0.8055 0.8920 0.3736  4 Se 3.09-3.43
Tl15 0.9650 0.5049 0.3727  3 Se 3.05-3.11
Tl16 0.9650 0.9951 0.8727  3 Se 3.05-3.11
Se1 0.0576 0.6750 0.2163  1 Ti 2.39
Se2 0.0576 0.8250 0.7163  1 Ti 2.39
Se3 0.1749 0.6182 0.9634  1 Ti 2.39
Se4 0.1749 0.8818 0.4634  1 Ti 2.39
Se5 0.2943 0.1578 0.9652  1 Ti 2.37
Se6 0.2943 0.3422 0.4652  1 Ti 2.37
Se7 0.3978 0.0526 0.2906  1 Ti 2.38
Se8 0.3978 0.4474 0.7906  1 Ti 2.38
Se9 0.6022 0.5526 0.2094  1 Ti 2.38
Se10 0.6022 0.9474 0.7094  1 Ti 2.38
Se11 0.7057 0.6578 0.5348  1 Ti 2.37
Se12 0.7057 0.8422 0.0348  1 Ti 2.37
Se13 0.8251 0.1182 0.5366  1 Ti 2.39
Se14 0.8251 0.3818 0.0366  1 Ti 2.39
Se15 0.9424 0.1750 0.2837  1 Ti 2.39
Se16 0.9424 0.3250 0.7837  1 Ti 2.39

DOS at the Fermi energy, states/eV/atom: 0.000
E_form (uncorrected), eV per atom: -0.73
Crystal system: monoclinic
Energy, eV for the cell shown: -1569.4
Total moment, Bohr magnetons per cell: 0.00

No. 9
Below is Ti2TlSe at its PBEsol-relaxed geometry, with properties calculated at the meta-GGA SCAN level.

Cell lengths 4.6518, 4.6518, 4.6518 Å; angles 60.00, 60.00, 60.00 degrees
Last column: nearest neighbours and their distance in Å.
Atoms (fractional coordinates):
Ti1 0.2500 0.2500 0.2500  4 Se 2.85, 4 Tl 2.85
Ti2 0.7500 0.7500 0.7500  4 Se 2.85, 4 Tl 2.85
Tl1 0.0000 0.0000 0.0000  8 Ti 2.85
Se1 0.5000 0.5000 0.5000  8 Ti 2.85

DOS at the Fermi energy, states/eV/atom: 1.206
E_form (uncorrected), eV per atom: -0.14
Crystal system: cubic
Energy, eV for the cell shown: -125.1
Total moment, Bohr magnetons per cell: 1.95

No. 10
Below is TiVSe4 at its PBEsol-relaxed geometry, with properties calculated at the meta-GGA SCAN level.

Cell lengths 5.8517, 3.3718, 5.9709 Å; angles 90.00, 90.11, 90.00 degrees
Last column: nearest neighbours and their distance in Å.
Atoms (fractional coordinates):
Ti1 0.0000 0.0000 0.0000  6 Se 2.52
V1 0.5000 0.5000 0.0000  6 Se 2.48
Se1 0.1722 0.5000 0.2638  1 V 2.48, 2 Ti 2.52
Se2 0.3385 0.0000 0.7403  2 V 2.48, 1 Ti 2.52
Se3 0.6615 0.0000 0.2597  2 V 2.48, 1 Ti 2.52
Se4 0.8278 0.5000 0.7362  1 V 2.48, 2 Ti 2.52

DOS at the Fermi energy, states/eV/atom: 0.368
E_form (uncorrected), eV per atom: -0.99
Crystal system: monoclinic
Energy, eV for the cell shown: -119.8
Total moment, Bohr magnetons per cell: 1.23